Crystalline AcCoMoO6 at its relaxed geometry, computed with PBE+U.

Unit cell a=5.1438 b=5.1438 c=5.3700 alpha=90.00 beta=90.00 gamma=120.00
With the nearest neighbours (Å) after each atom.
Fractional positions:
Ac  0.0000  0.0000  0.0000  6 O 2.53
Co  0.3333  0.6667  0.5000  6 O 1.93
Mo  0.6667  0.3333  0.5000  6 O 1.95
O  0.0020  0.3828  0.7031  1 Co 1.93, 1 Mo 1.95
O  0.0020  0.6191  0.2969  1 Co 1.93, 1 Mo 1.95
O  0.3809  0.3828  0.2969  1 Co 1.93, 1 Mo 1.95
O  0.3809  0.9980  0.7031  1 Co 1.93, 1 Mo 1.95
O  0.6172  0.6191  0.7031  1 Co 1.93, 1 Mo 1.95
O  0.6172  0.9980  0.2969  1 Co 1.93, 1 Mo 1.95

Its crystal system is trigonal. The value obtained for the total magnetization is 0.000 μB per atom. For the electronic total energy, the calculation gives -7.099 eV/atom.